(1)
GGA-PBE Pr2SnHg2Pd4, optimized geometry; V = 24.96 A^3/atom; total magnetic moment = 0.00 μB per formula unit; final energy = -36.78 eV per cell
1.0
6.991 -0.360 -0.519
-3.671 5.960 0.519
-3.671 -1.608 5.763
Hg Pd Sn Pr
2 4 1 2
Direct
0.500 0.750 0.250
0.500 0.250 0.750
0.567 0.284 0.284
0.000 0.284 0.716
0.433 0.716 0.716
0.000 0.716 0.284
0.000 0.000 0.000
0.000 0.702 0.702
0.000 0.298 0.298


(2)
GGA-PBE Fe5Os, optimized geometry; V = 11.23 A^3/atom; total magnetic moment = 0.71 μB per formula unit; final energy = -53.04 eV per cell
1.0
-1.294 2.184 -0.043
-6.243 -2.245 -1.056
-0.577 -0.264 3.972
Fe Os
5 1
Direct
0.219 0.562 0.500
0.666 0.668 0.000
0.328 0.344 0.000
0.004 0.993 0.000
0.560 0.880 0.500
0.890 0.219 0.500


(3)
GGA-PBE Na3Zr3CuTe8, optimized geometry; V = 30.35 A^3/atom; total magnetic moment = 0.00 μB per formula unit; final energy = -69.90 eV per cell; ΔE_f (raw) = -11.1 eV/f.u.
1.0
8.373 0.000 0.000
-4.187 7.048 0.017
0.000 -4.622 7.704
Zr Te Na Cu
3 8 3 1
Direct
0.000 0.500 0.500
0.500 0.000 0.500
0.500 0.500 0.500
0.222 0.443 0.704
0.742 0.484 0.726
0.758 0.024 0.282
0.258 0.516 0.274
0.734 0.976 0.718
0.778 0.557 0.296
0.242 0.976 0.718
0.266 0.024 0.282
0.500 0.500 0.000
0.000 0.000 0.000
0.000 0.500 0.000
0.000 0.000 0.500


Question: What is the final energy in the first record?
Answer: -36.78 eV per cell


Question: Which of these has the highest V?
Answer: Na3Zr3CuTe8


Question: final energy of number 2 (Fe5Os)?
Answer: -53.04 eV per cell